Zr2Co3 | PBE | optimized geometry

Values from the calculation:
As for the space group: Fdd2 (43). The energy is -39.8 eV/f.u. Its energy of formation is -277.0 meV per atom. The calculation puts the density of states at the Fermi level at 12.27 states/eV/cell.

a = 5.0619 Å, b = 5.0619 Å, c = 7.2701 Å
α = 80.15°, β = 80.15°, γ = 120.57°
Closest atoms and distances in Å follow each position.
Positions (direct):
Co: 0.5901 0.4485 0.2478  4 Co 2.33-2.53
Co: 0.1985 0.8401 0.7478  4 Co 2.33-2.53
Co: 0.9372 0.9372 0.0000  4 Co 2.33-2.34
Co: 0.6963 0.8380 0.7522  4 Co 2.33-2.53
Co: 0.5880 0.9463 0.2522  4 Co 2.33-2.53
Co: 0.6872 0.1872 0.5000  4 Co 2.33-2.34
Zr: 0.2570 0.4229 0.5965  7 Co 2.66-2.81
Zr: 0.1729 0.5070 0.0965  7 Co 2.66-2.81
Zr: 0.6034 0.2694 0.9035  7 Co 2.66-2.81
Zr: 0.0194 0.8534 0.4035  7 Co 2.66-2.81